{
  "formula": "ZrTiCoPt",
  "functional": "PBE",
  "state": "relaxed",
  "cell": [[4.5215, 0.0000, 0.0000], [2.2608, 3.9158, 0.0000], [2.2608, 1.3053, 3.6918]],
  "species": ["Co", "Zr", "Ti", "Pt"],
  "frac_coords": [[0.0000, 0.0000, 0.0000], [0.7500, 0.7500, 0.7500], [0.2500, 0.2500, 0.2500], [0.5000, 0.5000, 0.5000]],
  "sg": "F-43m",
  "dos_ef_per_ev_cell": 4.3,
  "mass_density_g_cm3": 9.99,
  "e_tot_ev_per_cell": -31.75,
  "formation_enthalpy_0k_ev_per_atom": -0.54
}



{
  "formula": "TlCo3Pt",
  "functional": "PBE",
  "state": "relaxed",
  "cell": [[4.6814, 0.0000, 0.0000], [0.0000, 4.6814, 0.0000], [0.0000, 0.0000, 4.6814]],
  "species": ["Co", "Co", "Co", "Tl", "Pt"],
  "frac_coords": [[0.0000, 0.0000, 0.5000], [0.0000, 0.5000, 0.0000], [0.5000, 0.0000, 0.0000], [0.5000, 0.5000, 0.5000], [0.0000, 0.0000, 0.0000]],
  "sg": "Pm-3m",
  "dos_ef_per_ev_cell": 6.5,
  "mass_density_g_cm3": 9.33,
  "e_tot_ev_per_cell": -24.46,
  "formation_enthalpy_0k_ev_per_atom": 1.05,
  "e_above_lowest_polymorph_mev_per_atom": 0
}



> What is the formula in the second record?

TlCo3Pt